# 1
Computed, not measured: a relaxed SrTlZn2 crystal at the PBE level of DFT.

a b c (Å): 3.971 4.415 6.299
angles (deg): 90.00 108.34 90.00
Positions (direct):
Sr (0.000, 0.000, 0.000)
Tl (0.680, 0.500, 0.360)
Zn (0.278, 0.000, 0.552)
Zn (0.381, 0.500, 0.760)

Calculated values
- ΔE_f: -0.141 eV per atom
- DFT total energy: -1.790 eV/atom
- M_tot: 0.00 μB per formula unit

=====

# 2
Computed, not measured: a relaxed Sr12Tl6Zn crystal at the PBE level of DFT.

a b c (Å): 9.504 9.504 9.504
angles (deg): 95.94 95.94 95.94
Positions (direct):
Sr (0.001, 0.671, 0.922)
Sr (0.078, 0.999, 0.329)
Sr (0.185, 0.440, 0.577)
Sr (0.329, 0.078, 0.999)
Sr (0.423, 0.815, 0.560)
Sr (0.440, 0.577, 0.185)
Sr (0.560, 0.423, 0.815)
Sr (0.577, 0.185, 0.440)
Sr (0.671, 0.922, 0.001)
Sr (0.815, 0.560, 0.423)
Sr (0.922, 0.001, 0.671)
Sr (0.999, 0.329, 0.078)
Tl (0.129, 0.651, 0.290)
Tl (0.290, 0.129, 0.651)
Tl (0.349, 0.710, 0.871)
Tl (0.651, 0.290, 0.129)
Tl (0.710, 0.871, 0.349)
Tl (0.871, 0.349, 0.710)
Zn (0.000, 0.000, 0.000)

Calculated values
- ΔE_f: -0.128 eV per atom
- DFT total energy: -2.004 eV/atom
- M_tot: 0.00 μB per formula unit

=====

> Look up the ΔE_f of the second one.

-0.128 eV per atom

=====

What did the second record say?
Computed, not measured: a relaxed Sr12Tl6Zn crystal at the PBE level of DFT.

a b c (Å): 9.504 9.504 9.504
angles (deg): 95.94 95.94 95.94
Positions (direct):
Sr (0.001, 0.671, 0.922)
Sr (0.078, 0.999, 0.329)
Sr (0.185, 0.440, 0.577)
Sr (0.329, 0.078, 0.999)
Sr (0.423, 0.815, 0.560)
Sr (0.440, 0.577, 0.185)
Sr (0.560, 0.423, 0.815)
Sr (0.577, 0.185, 0.440)
Sr (0.671, 0.922, 0.001)
Sr (0.815, 0.560, 0.423)
Sr (0.922, 0.001, 0.671)
Sr (0.999, 0.329, 0.078)
Tl (0.129, 0.651, 0.290)
Tl (0.290, 0.129, 0.651)
Tl (0.349, 0.710, 0.871)
Tl (0.651, 0.290, 0.129)
Tl (0.710, 0.871, 0.349)
Tl (0.871, 0.349, 0.710)
Zn (0.000, 0.000, 0.000)

Calculated values
- ΔE_f: -0.128 eV per atom
- DFT total energy: -2.004 eV/atom
- M_tot: 0.00 μB per formula unit